# 1
A plane-wave DFT calculation with PBE was carried out for a geometry-optimized YSbF2 structure.

**E_form (uncorrected)**: -832 kJ/mol of formula units
**Distance to the lowest polymorph of the same formula**: 139 meV/atom

Geometry as extended XYZ:
```
4
Lattice="-6.720 -3.677 6.777 -5.658 -6.537 5.464 -3.954 -5.108 7.930" Properties=species:S:1:pos:R:3 pbc="T T T"
Y -8.166 -7.661 10.085
Sb 0.000 0.000 0.000
F -14.311 -13.427 17.676
F -2.020 -1.895 2.495
```


# 2
A plane-wave DFT calculation with PBE was carried out for a geometry-optimized TiBi2Pd structure.

**Energy of formation from the pure elements**: 120 meV/atom

Geometry as extended XYZ:
```
4
Lattice="3.335 0.000 0.000 1.667 2.888 0.000 1.667 0.963 9.908" Properties=species:S:1:pos:R:3 pbc="T T T"
Bi 1.667 0.963 7.236
Bi 5.002 2.888 2.672
Pd 0.000 0.000 0.000
Ti 3.335 1.925 4.954
```


# 3
A plane-wave DFT calculation with PBE was carried out for a geometry-optimized BeHgSe2N structure.

**E_form (uncorrected)**: 778 kJ/mol of formula units
**Distance to the lowest polymorph of the same formula**: 1165 meV/atom

Geometry as extended XYZ:
```
5
Lattice="-4.542 2.779 -0.657 -2.212 -2.642 4.112 1.367 2.840 2.561" Properties=species:S:1:pos:R:3 pbc="T T T"
Be -2.693 1.488 3.007
Hg 0.000 0.000 0.000
Se -1.106 -1.321 2.056
Se -2.271 1.389 -0.329
N 0.683 1.420 1.280
```


# 4
A plane-wave DFT calculation with PBE was carried out for a geometry-optimized Pm5SmSb6 structure.

**E_form (uncorrected)**: -1373 kJ/mol of formula units

Geometry as extended XYZ:
```
12
Lattice="-7.225 1.160 -2.631 -5.095 -1.406 5.704 -2.203 5.750 4.750" Properties=species:S:1:pos:R:3 pbc="T T T"
Sb -6.579 2.666 0.079
Sb -5.512 1.380 4.256
Sb -3.075 -0.061 0.765
Sb -9.246 -0.185 2.308
Sb -9.011 4.123 3.566
Sb -7.945 2.838 7.743
Sm 0.000 0.000 0.000
Pm -5.931 4.175 2.800
Pm -2.433 1.447 3.484
Pm -6.160 -0.123 1.536
Pm -4.866 2.897 6.969
Pm -8.593 1.329 5.022
```


# 5
A plane-wave DFT calculation with PBE was carried out for a geometry-optimized NdYAu structure.

**Energy of formation from the pure elements**: -561 meV/atom
**Distance to the lowest polymorph of the same formula**: 17 meV/atom

Geometry as extended XYZ:
```
18
Lattice="8.268 0.000 0.000 0.000 9.951 0.000 -4.134 -4.975 6.205" Properties=species:S:1:pos:R:3 pbc="T T T"
Nd 3.645 -2.488 3.753
Nd -0.489 7.463 2.452
Nd -1.313 2.488 6.205
Nd 2.820 2.488 0.000
Nd -0.489 2.488 2.452
Nd 3.644 2.488 3.752
Y 0.154 0.000 0.000
Y 0.154 4.975 0.000
Y 1.066 0.000 4.501
Y 5.200 4.975 1.704
Y 5.200 0.000 1.704
Y 1.066 4.975 4.501
Au 5.970 2.488 0.000
Au 1.836 2.488 6.204
Au 2.308 0.000 1.959
Au -1.826 4.975 4.246
Au -1.826 0.000 4.246
Au 2.308 4.975 1.959
```


# 6
A plane-wave DFT calculation with PBE was carried out for a geometry-optimized ScIrO structure.

**E_form (uncorrected)**: -547 kJ/mol of formula units

Geometry as extended XYZ:
```
6
Lattice="3.662 0.000 0.000 0.000 3.662 0.000 0.000 0.000 6.858" Properties=species:S:1:pos:R:3 pbc="T T T"
Sc 0.000 1.831 5.877
Sc 1.831 0.000 0.980
Ir 0.000 1.831 3.266
Ir 1.831 0.000 3.592
O 0.000 0.000 0.000
O 1.831 1.831 0.000
```


One value per record, in order, for magnetization: 0.000 0.000 0.418 0.000 0.000 0.000 μB per atom.